Here is Y2MnGe after structural relaxation from Alexandria via LeMat-Bulk. Energies are from PBE-GGA.

Calculated values
Electronic total energy (eV/atom): -6.9676
Volume (Å³/atom): 22.765

Cell: 5.6954 5.7121 6.4668 Å, 63.81 74.74 83.71°
Last column: nearest neighbours and their distance in Å.
Space group P1 (No. 1)
One atom of each set of equivalent atoms:
Y (0.0000, 0.0000, 0.0000) [1 per cell]  3 Mn 2.82-3.04, 2 Ge 3.04-3.07
Y (0.0498, 0.7405, 0.6015) [1 per cell]  3 Ge 3.01-3.20, 3 Mn 3.03-3.30, 1 Y 3.34
Y (0.2167, 0.3606, 0.2385) [1 per cell]  2 Mn 2.90-3.04, 3 Ge 2.94-3.01
Y (0.5887, 0.3680, 0.6239) [1 per cell]  3 Ge 3.00-3.09, 3 Mn 3.20
Mn (0.4645, 0.8455, 0.1655) [1 per cell]  1 Mn 2.19
Mn (0.6039, 0.9929, 0.3710) [1 per cell]  1 Mn 2.19, 1 Ge 2.37
Ge (0.4781, 0.8016, 0.7919) [1 per cell]  2 Mn 2.37-2.52
Ge (0.7454, 0.4541, 0.0996) [1 per cell]  2 Mn 2.51-2.73, 1 Ge 2.77